Computed, not measured: SrTl2Au after structural relaxation at the PBE-GGA level of DFT.

abc: 5.185 5.185 5.808
angles: 116.72 116.72 60.31
Fractional coordinates of all 4 atoms:
Sr: 0.000 0.000 0.000
Tl: 0.531 0.531 0.597
Tl: 0.771 0.771 0.313
Au: 0.222 0.222 0.669

Calculated values
Size of the total moment: 0.0 Bohr magnetons per cell
Space group: Cm
ΔH_f (0 K): -327 meV per atom